# SrZnCd2

An optimized crystal structure of SrZnCd2 (GGA-PBE, Alexandria).

Geometry as extended XYZ:
```
4
Lattice="4.823 -0.010 0.012 2.419 4.173 0.012 2.395 1.376 5.361" Properties=species:S:1:pos:R:3 pbc="T T T"
Sr 4.817 2.769 2.587
Zn 2.413 1.387 0.568
Cd 7.243 4.162 0.371
Cd 7.226 4.153 4.573
```

---

# Sr2ZnCd

An optimized crystal structure of Sr2ZnCd (GGA-PBE, Alexandria).

Geometry as extended XYZ:
```
4
Lattice="3.929 0.000 0.000 0.000 3.929 0.000 0.000 0.000 8.177" Properties=species:S:1:pos:R:3 pbc="T T T"
Sr 1.964 0.000 1.958
Sr 1.964 0.000 6.219
Zn 0.000 1.964 0.000
Cd 0.000 1.964 4.088
```

---

| no. | total DFT energy (no corrections) (eV per atom) |
| --- | --- |
| 1 | -1.393 |
| 2 | -1.638 |